Entry 1:
Li2AlPH | the Alexandria database | PBE | relaxed; space-group type = P4/mmm (123); E_tot = -16.8 eV for the cell shown; spin magnetization = 0.00 Bohr magnetons per cell
1.0
4.084 0.000 0.000
0.000 3.728 0.000
0.000 0.000 4.084
P Al H Li
1 1 1 2
direct
0.000 0.500 0.000 P
0.500 0.500 0.500 Al
0.000 0.000 0.000 H
0.000 0.000 0.500 Li
0.500 0.000 0.000 Li

***

Entry 2:
SiPbW2 | the Alexandria database | PBE | relaxed; space-group type = C2/m (12); E_tot = -31.2 eV for the cell shown; polymorph energy (0 for the lowest one) = 2.46 eV/f.u.; spin magnetization = 0.00 Bohr magnetons per cell; E_form (uncorrected) = 0.9633 eV/atom
1.0
-4.543 2.687 0.036
0.269 -3.588 -3.861
-1.964 -2.074 0.914
Pb Si W
1 1 2
direct
0.500 0.000 0.500 Pb
0.000 0.500 0.500 Si
0.000 0.000 0.000 W
0.500 0.500 0.000 W

***

Entry 3:
YCrOs | the Alexandria database | PBE | relaxed; calculated formation energy = 0.093 eV/atom; space-group type = P3m1 (156); E_tot = -27.0 eV for the cell shown; polymorph energy (0 for the lowest one) = 0.00 eV/f.u.; spin magnetization = 0.00 Bohr magnetons per cell
1.0
3.994 0.000 0.000
-1.997 3.459 0.000
0.000 0.000 4.430
Cr Os Y
1 1 1
direct
0.000 0.000 0.168 Cr
0.667 0.333 0.165 Os
0.333 0.667 0.667 Y